## w
TbEr3Tm6 after structural relaxation, computed with PBE.

a = 6.2744 Å, b = 11.3367 Å, c = 11.3367 Å
α = 130.67°, β = 90.00°, γ = 90.00°
With the nearest neighbours (Å) after each atom.
Atoms (fractional coordinates):
Tb  0.0142  0.1624  0.8376  6 Tm 3.21-3.56, 2 Er 3.46
Tb  0.5142  0.8376  0.1624  6 Tm 3.21-3.56, 2 Er 3.46
Tm  0.2849  0.6984  0.3016  1 Er 3.11, 1 Tb 3.21, 2 Tm 3.34
Tm  0.8293  0.8956  0.4578  2 Er 3.21-3.33, 3 Tm 3.34-3.51, 2 Tb 3.47-3.56
Tm  0.5681  0.6214  0.7422  3 Er 3.29-3.46, 4 Tm 3.44-3.59
Tm  0.0681  0.7422  0.6214  3 Er 3.29-3.46, 4 Tm 3.44-3.59
Tm  0.0681  0.3786  0.2578  3 Er 3.29-3.46, 4 Tm 3.44-3.59
Tm  0.7849  0.3016  0.6984  1 Er 3.11, 1 Tb 3.21, 2 Tm 3.34
Tm  0.5681  0.2578  0.3786  3 Er 3.29-3.46, 4 Tm 3.44-3.59
Tm  0.8293  0.5422  0.1044  2 Er 3.21-3.33, 3 Tm 3.34-3.51, 2 Tb 3.47-3.56
Tm  0.3293  0.1044  0.5422  2 Er 3.21-3.33, 3 Tm 3.34-3.51, 2 Tb 3.47-3.56
Tm  0.8188  0.0149  0.9851  4 Tm 3.20-3.52, 1 Tb 3.28, 4 Er 3.49-3.50
Tm  0.3188  0.9851  0.0149  4 Tm 3.20-3.52, 1 Tb 3.28, 4 Er 3.49-3.50
Tm  0.3293  0.4578  0.8956  2 Er 3.21-3.33, 3 Tm 3.34-3.51, 2 Tb 3.47-3.56
Er  0.4888  0.2962  0.0425  2 Er 3.20-3.34, 5 Tm 3.21-3.50, 1 Tb 3.46
Er  0.0950  0.4196  0.5804  5 Tm 3.11-3.46, 2 Er 3.34
Er  0.4888  0.9575  0.7038  2 Er 3.20-3.34, 5 Tm 3.21-3.50, 1 Tb 3.46
Er  0.9888  0.0425  0.2962  2 Er 3.20-3.34, 5 Tm 3.21-3.50, 1 Tb 3.46
Er  0.9888  0.7038  0.9575  2 Er 3.20-3.34, 5 Tm 3.21-3.50, 1 Tb 3.46
Er  0.5950  0.5804  0.4196  5 Tm 3.11-3.46, 2 Er 3.34

Values from the calculation:
Total magnetization = 0.00 Bohr magnetons per cell

***

## x
TbEr3Tm6 after structural relaxation, computed with PBE.

a = 6.0894 Å, b = 10.7899 Å, c = 10.7899 Å
α = 119.72°, β = 90.00°, γ = 90.00°
With the nearest neighbours (Å) after each atom.
Atoms (fractional coordinates):
Tm  0.0289  0.3825  0.2883  4 Er 3.35-3.50, 6 Tm 3.35-3.69
Tm  0.8617  0.9633  0.5423  2 Er 3.23-3.54, 5 Tm 3.23-3.38, 2 Tb 3.23-3.36
Tm  0.4204  0.9515  0.0485  1 Tb 3.33, 4 Er 3.48-3.57, 4 Tm 3.54-3.69
Tm  0.6420  0.2862  0.7138  4 Tm 3.23-3.31, 1 Er 3.26, 2 Tb 3.28-3.46
Tm  0.5289  0.6175  0.7117  4 Er 3.35-3.50, 6 Tm 3.35-3.69
Tm  0.0289  0.7117  0.6175  4 Er 3.35-3.50, 6 Tm 3.35-3.69
Tm  0.3617  0.5423  0.9633  2 Er 3.23-3.54, 5 Tm 3.23-3.38, 2 Tb 3.23-3.36
Tm  0.3617  0.0367  0.4577  2 Er 3.23-3.54, 5 Tm 3.23-3.38, 2 Tb 3.23-3.36
Tm  0.1420  0.7138  0.2862  4 Tm 3.23-3.31, 1 Er 3.26, 2 Tb 3.28-3.46
Tm  0.9204  0.0485  0.9515  1 Tb 3.33, 4 Er 3.48-3.57, 4 Tm 3.54-3.69
Tm  0.5289  0.2883  0.3825  4 Er 3.35-3.50, 6 Tm 3.35-3.69
Tm  0.8617  0.4577  0.0367  2 Er 3.23-3.54, 5 Tm 3.23-3.38, 2 Tb 3.23-3.36
Er  0.4562  0.9358  0.7195  1 Tb 3.21, 6 Tm 3.23-3.57
Er  0.9562  0.0642  0.2805  1 Tb 3.21, 6 Tm 3.23-3.57
Er  0.5716  0.6091  0.3909  5 Tm 3.26-3.50, 1 Tb 3.43, 2 Er 3.62
Er  0.9562  0.7195  0.9358  1 Tb 3.21, 6 Tm 3.23-3.57
Er  0.4562  0.2805  0.0642  1 Tb 3.21, 6 Tm 3.23-3.57
Er  0.0716  0.3909  0.6091  5 Tm 3.26-3.50, 1 Tb 3.43, 2 Er 3.62
Tb  0.1579  0.2090  0.7910  3 Er 3.21-3.43, 7 Tm 3.23-3.46
Tb  0.6579  0.7910  0.2090  3 Er 3.21-3.43, 7 Tm 3.23-3.46

Values from the calculation:
Total magnetization = 0.03 Bohr magnetons per cell

***

Out of the structures above, which one is the most stable? Solution: w.